*w*
Compound: ScBI3
Source: Alexandria
Functional: PBE
Structure: optimized geometry

```
data_ScBI3
_chemical_formula_sum 'Sc1 B1 I3'
_cell_length_a 5.7393
_cell_length_b 5.7393
_cell_length_c 5.7393
_cell_angle_alpha 90.00
_cell_angle_beta 90.00
_cell_angle_gamma 90.00
_symmetry_space_group_name_H-M 'P m -3 m'
_symmetry_Int_Tables_number 221
_symmetry_space_group_name_Hall '-P 4 2 3'
loop_
_atom_site_label
_atom_site_fract_x
_atom_site_fract_y
_atom_site_fract_z
_atom_site_occupancy
Sc1 0.0000 0.0000 0.0000 1
B1 0.5000 0.5000 0.5000 1
I1 0.0000 0.0000 0.5000 1
```



*x*
Compound: ScBI3
Source: Alexandria
Functional: PBE
Structure: optimized geometry

```
data_ScBI3
_chemical_formula_sum 'Sc1 B1 I3'
_cell_length_a 5.1460
_cell_length_b 5.1460
_cell_length_c 5.1460
_cell_angle_alpha 90.00
_cell_angle_beta 90.00
_cell_angle_gamma 90.00
_symmetry_space_group_name_H-M 'P m -3 m'
_symmetry_Int_Tables_number 221
_symmetry_space_group_name_Hall '-P 4 2 3'
loop_
_atom_site_label
_atom_site_fract_x
_atom_site_fract_y
_atom_site_fract_z
_atom_site_occupancy
Sc1 0.0000 0.0000 0.0000 1
B1 0.5000 0.5000 0.5000 1
I1 0.0000 0.5000 0.5000 1
```



Verdict on stability: *x* comes out at the bottom.



*w*
Compound: ScBI2
Source: Alexandria
Functional: PBE
Structure: optimized geometry

```
data_ScBI2
_chemical_formula_sum 'Sc4 B4 I8'
_cell_length_a 7.7692
_cell_length_b 7.7692
_cell_length_c 7.0790
_cell_angle_alpha 90.00
_cell_angle_beta 90.00
_cell_angle_gamma 90.00
_symmetry_space_group_name_H-M 'I -4 2 d'
_symmetry_Int_Tables_number 122
_symmetry_space_group_name_Hall 'I -4 2bw'
loop_
_atom_site_label
_atom_site_fract_x
_atom_site_fract_y
_atom_site_fract_z
_atom_site_occupancy
Sc1 0.0000 0.0000 0.0000 1
B1 0.0000 0.0000 0.5000 1
I1 0.2415 0.2500 0.6250 1
```



*x*
Compound: ScBI2
Source: Alexandria
Functional: PBE
Structure: optimized geometry

```
data_ScBI2
_chemical_formula_sum 'Sc4 B4 I8'
_cell_length_a 7.2808
_cell_length_b 7.2808
_cell_length_c 7.2808
_cell_angle_alpha 90.00
_cell_angle_beta 90.00
_cell_angle_gamma 90.00
_symmetry_space_group_name_H-M 'F m -3 m'
_symmetry_Int_Tables_number 225
_symmetry_space_group_name_Hall '-F 4 2 3'
loop_
_atom_site_label
_atom_site_fract_x
_atom_site_fract_y
_atom_site_fract_z
_atom_site_occupancy
Sc1 0.0000 0.0000 0.0000 1
B1 0.0000 0.0000 0.5000 1
I1 0.2500 0.2500 0.2500 1
```



Verdict on stability: *w* comes out at the bottom.



*w*
Compound: BSeI3
Source: Alexandria
Functional: PBE
Structure: optimized geometry

```
data_BSeI3
_chemical_formula_sum 'B1 Se1 I3'
_cell_length_a 5.7490
_cell_length_b 5.7490
_cell_length_c 5.7490
_cell_angle_alpha 90.00
_cell_angle_beta 90.00
_cell_angle_gamma 90.00
_symmetry_space_group_name_H-M 'P m -3 m'
_symmetry_Int_Tables_number 221
_symmetry_space_group_name_Hall '-P 4 2 3'
loop_
_atom_site_label
_atom_site_fract_x
_atom_site_fract_y
_atom_site_fract_z
_atom_site_occupancy
B1 0.0000 0.0000 0.0000 1
Se1 0.5000 0.5000 0.5000 1
I1 0.0000 0.5000 0.5000 1
```



*x*
Compound: BSeI3
Source: Alexandria
Functional: PBE
Structure: optimized geometry

```
data_BSeI3
_chemical_formula_sum 'B1 Se1 I3'
_cell_length_a 5.0975
_cell_length_b 5.0975
_cell_length_c 5.0975
_cell_angle_alpha 90.00
_cell_angle_beta 90.00
_cell_angle_gamma 90.00
_symmetry_space_group_name_H-M 'P m -3 m'
_symmetry_Int_Tables_number 221
_symmetry_space_group_name_Hall '-P 4 2 3'
loop_
_atom_site_label
_atom_site_fract_x
_atom_site_fract_y
_atom_site_fract_z
_atom_site_occupancy
B1 0.0000 0.0000 0.0000 1
Se1 0.5000 0.5000 0.5000 1
I1 0.0000 0.0000 0.5000 1
```



Verdict on stability: *w* comes out at the bottom.



*w*
Compound: BSe3I
Source: Alexandria
Functional: PBE
Structure: optimized geometry

```
data_BSe3I
_chemical_formula_sum 'B1 Se3 I1'
_cell_length_a 4.6359
_cell_length_b 4.6359
_cell_length_c 4.6359
_cell_angle_alpha 90.00
_cell_angle_beta 90.00
_cell_angle_gamma 90.00
_symmetry_space_group_name_H-M 'P m -3 m'
_symmetry_Int_Tables_number 221
_symmetry_space_group_name_Hall '-P 4 2 3'
loop_
_atom_site_label
_atom_site_fract_x
_atom_site_fract_y
_atom_site_fract_z
_atom_site_occupancy
B1 0.0000 0.0000 0.0000 1
Se1 0.0000 0.0000 0.5000 1
I1 0.5000 0.5000 0.5000 1
```



*x*
Compound: BSe3I
Source: Alexandria
Functional: PBE
Structure: optimized geometry

```
data_BSe3I
_chemical_formula_sum 'B1 Se3 I1'
_cell_length_a 5.4166
_cell_length_b 5.4166
_cell_length_c 5.4166
_cell_angle_alpha 90.00
_cell_angle_beta 90.00
_cell_angle_gamma 90.00
_symmetry_space_group_name_H-M 'P m -3 m'
_symmetry_Int_Tables_number 221
_symmetry_space_group_name_Hall '-P 4 2 3'
loop_
_atom_site_label
_atom_site_fract_x
_atom_site_fract_y
_atom_site_fract_z
_atom_site_occupancy
B1 0.0000 0.0000 0.0000 1
Se1 0.0000 0.5000 0.5000 1
I1 0.5000 0.5000 0.5000 1
```



*y*
Compound: BSe3I
Source: Alexandria
Functional: PBE
Structure: optimized geometry

```
data_BSe3I
_chemical_formula_sum 'B2 Se6 I2'
_cell_length_a 7.0063
_cell_length_b 7.9825
_cell_length_c 8.1531
_cell_angle_alpha 69.14
_cell_angle_beta 72.95
_cell_angle_gamma 66.63
_symmetry_space_group_name_H-M 'P 1'
_symmetry_Int_Tables_number 1
loop_
_symmetry_equiv_pos_as_xyz
'x,y,z'
loop_
_atom_site_label
_atom_site_fract_x
_atom_site_fract_y
_atom_site_fract_z
_atom_site_occupancy
B1 0.0000 0.0000 0.0000 1
B2 0.3280 0.1296 0.7897 1
Se1 0.1022 0.2263 0.9902 1
Se2 0.1504 0.8843 0.2062 1
Se3 0.1537 0.9997 0.7406 1
Se4 0.4577 0.2982 0.5756 1
Se5 0.6443 0.9876 0.8043 1
Se6 0.7006 0.0006 0.0730 1
I1 0.1265 0.5099 0.3593 1
I2 0.3418 0.6504 0.6968 1
```



Verdict on stability: *x* comes out at the bottom.



*w*
Compound: B2SeI
Source: Alexandria
Functional: PBE
Structure: optimized geometry

```
data_B2SeI
_chemical_formula_sum 'B8 Se4 I4'
_cell_length_a 6.3984
_cell_length_b 6.3984
_cell_length_c 6.3984
_cell_angle_alpha 90.00
_cell_angle_beta 90.00
_cell_angle_gamma 90.00
_symmetry_space_group_name_H-M 'F m -3 m'
_symmetry_Int_Tables_number 225
_symmetry_space_group_name_Hall '-F 4 2 3'
loop_
_atom_site_label
_atom_site_fract_x
_atom_site_fract_y
_atom_site_fract_z
_atom_site_occupancy
B1 0.2500 0.2500 0.2500 1
Se1 0.0000 0.0000 0.0000 1
I1 0.0000 0.0000 0.5000 1
```



*x*
Compound: B2SeI
Source: Alexandria
Functional: PBE
Structure: optimized geometry

```
data_B2SeI
_chemical_formula_sum 'B8 Se4 I4'
_cell_length_a 5.9667
_cell_length_b 5.9667
_cell_length_c 7.8107
_cell_angle_alpha 90.00
_cell_angle_beta 90.00
_cell_angle_gamma 90.00
_symmetry_space_group_name_H-M 'I -4 2 d'
_symmetry_Int_Tables_number 122
_symmetry_space_group_name_Hall 'I -4 2bw'
loop_
_atom_site_label
_atom_site_fract_x
_atom_site_fract_y
_atom_site_fract_z
_atom_site_occupancy
B1 0.1981 0.2500 0.1250 1
Se1 0.0000 0.0000 0.0000 1
I1 0.0000 0.0000 0.5000 1
```



Verdict on stability: *w* comes out at the bottom.



*w*
Compound: BTeSeI2
Source: Alexandria
Functional: PBE
Structure: optimized geometry

```
data_BTeSeI2
_chemical_formula_sum 'B1 Te1 Se1 I2'
_cell_length_a 4.8004
_cell_length_b 4.8004
_cell_length_c 5.6182
_cell_angle_alpha 90.00
_cell_angle_beta 90.00
_cell_angle_gamma 90.00
_symmetry_space_group_name_H-M 'P 4/m m m'
_symmetry_Int_Tables_number 123
_symmetry_space_group_name_Hall '-P 4 2'
loop_
_atom_site_label
_atom_site_fract_x
_atom_site_fract_y
_atom_site_fract_z
_atom_site_occupancy
B1 0.0000 0.0000 0.0000 1
Te1 0.0000 0.0000 0.5000 1
Se1 0.5000 0.5000 0.5000 1
I1 0.0000 0.5000 0.0000 1
```



*x*
Compound: BTeSeI2
Source: Alexandria
Functional: PBE
Structure: optimized geometry

```
data_BTeSeI2
_chemical_formula_sum 'B1 Te1 Se1 I2'
_cell_length_a 5.6674
_cell_length_b 5.6674
_cell_length_c 5.6470
_cell_angle_alpha 90.00
_cell_angle_beta 90.00
_cell_angle_gamma 90.00
_symmetry_space_group_name_H-M 'P 4/m m m'
_symmetry_Int_Tables_number 123
_symmetry_space_group_name_Hall '-P 4 2'
loop_
_atom_site_label
_atom_site_fract_x
_atom_site_fract_y
_atom_site_fract_z
_atom_site_occupancy
B1 0.0000 0.0000 0.0000 1
Te1 0.5000 0.5000 0.0000 1
Se1 0.5000 0.5000 0.5000 1
I1 0.0000 0.5000 0.5000 1
```



Verdict on stability: *x* comes out at the bottom.



*w*
Compound: SiB2I
Source: Alexandria
Functional: PBE
Structure: optimized geometry

```
data_SiB2I
_chemical_formula_sum 'Si4 B8 I4'
_cell_length_a 5.2663
_cell_length_b 5.2663
_cell_length_c 10.0138
_cell_angle_alpha 90.00
_cell_angle_beta 90.00
_cell_angle_gamma 90.00
_symmetry_space_group_name_H-M 'I -4 2 d'
_symmetry_Int_Tables_number 122
_symmetry_space_group_name_Hall 'I -4 2bw'
loop_
_atom_site_label
_atom_site_fract_x
_atom_site_fract_y
_atom_site_fract_z
_atom_site_occupancy
Si1 0.0000 0.0000 0.0000 1
B1 0.1623 0.2500 0.1250 1
I1 0.0000 0.0000 0.5000 1
```



*x*
Compound: SiB2I
Source: Alexandria
Functional: PBE
Structure: optimized geometry

```
data_SiB2I
_chemical_formula_sum 'Si4 B8 I4'
_cell_length_a 6.1239
_cell_length_b 6.1239
_cell_length_c 6.1239
_cell_angle_alpha 90.00
_cell_angle_beta 90.00
_cell_angle_gamma 90.00
_symmetry_space_group_name_H-M 'F m -3 m'
_symmetry_Int_Tables_number 225
_symmetry_space_group_name_Hall '-F 4 2 3'
loop_
_atom_site_label
_atom_site_fract_x
_atom_site_fract_y
_atom_site_fract_z
_atom_site_occupancy
Si1 0.0000 0.0000 0.0000 1
B1 0.2500 0.2500 0.2500 1
I1 0.0000 0.0000 0.5000 1
```



Verdict on stability: *x* comes out at the bottom.



*w*
Compound: Sn3BI
Source: Alexandria
Functional: PBE
Structure: optimized geometry

```
data_Sn3BI
_chemical_formula_sum 'Sn3 B1 I1'
_cell_length_a 5.8840
_cell_length_b 5.8840
_cell_length_c 5.8840
_cell_angle_alpha 90.00
_cell_angle_beta 90.00
_cell_angle_gamma 90.00
_symmetry_space_group_name_H-M 'P m -3 m'
_symmetry_Int_Tables_number 221
_symmetry_space_group_name_Hall '-P 4 2 3'
loop_
_atom_site_label
_atom_site_fract_x
_atom_site_fract_y
_atom_site_fract_z
_atom_site_occupancy
Sn1 0.0000 0.0000 0.5000 1
B1 0.5000 0.5000 0.5000 1
I1 0.0000 0.0000 0.0000 1
```



*x*
Compound: Sn3BI
Source: Alexandria
Functional: PBE
Structure: optimized geometry

```
data_Sn3BI
_chemical_formula_sum 'Sn3 B1 I1'
_cell_length_a 5.0682
_cell_length_b 5.0682
_cell_length_c 5.0682
_cell_angle_alpha 90.00
_cell_angle_beta 90.00
_cell_angle_gamma 90.00
_symmetry_space_group_name_H-M 'P m -3 m'
_symmetry_Int_Tables_number 221
_symmetry_space_group_name_Hall '-P 4 2 3'
loop_
_atom_site_label
_atom_site_fract_x
_atom_site_fract_y
_atom_site_fract_z
_atom_site_occupancy
Sn1 0.0000 0.0000 0.5000 1
B1 0.0000 0.0000 0.0000 1
I1 0.5000 0.5000 0.5000 1
```



Verdict on stability: *w* comes out at the bottom.